DFT (GGA-PBE) results for an optimized crystal structure of Ce8Zn2Ir. Values from VASP.

Total magnetization in μB/atom: 0.32
Total DFT energy (no corrections) in eV per cell: -60.62
Volume in A^3/atom: 25.5
N(E_F) in states/eV/f.u.: 31.242

```
&SYSTEM
  ibrav = 0, nat = 11, ntyp = 3
/
ATOMIC_SPECIES
Ce 140.12 Ce.upf
Zn 65.41 Zn.upf
Ir 192.22 Ir.upf
ATOMIC_POSITIONS angstrom
Ce -0.5883 0.0000 1.8737
Ce 2.0001 0.0000 5.0548
Ce 4.3048 0.0000 3.5374
Ce 6.5283 0.0000 0.4679
Ce 7.9382 0.0000 5.9165
Ce 10.1616 0.0000 2.8470
Ce 12.4663 0.0000 1.3296
Ce 15.0547 0.0000 4.5107
Zn 2.3792 0.0000 1.0826
Zn 12.0873 0.0000 5.3018
Ir 7.2332 0.0000 3.1922
CELL_PARAMETERS angstrom
8.3984 -2.6169 0.0000
8.3984 2.6169 0.0000
-2.3304 0.0000 6.3844
```


DFT (GGA-PBE) results for an optimized crystal structure of Ac2AgPd9. Values from VASP.

Total magnetization in μB/atom: 0.00
Total DFT energy (no corrections) in eV per cell: -62.60
Volume in A^3/atom: 19.7
N(E_F) in states/eV/f.u.: 11.601

```
&SYSTEM
  ibrav = 0, nat = 12, ntyp = 3
/
ATOMIC_SPECIES
Ac 227.00 Ac.upf
Ag 107.87 Ag.upf
Pd 106.42 Pd.upf
ATOMIC_POSITIONS angstrom
Ac 0.0000 0.0000 3.5994
Ac 0.0000 0.0000 23.6425
Ag 0.0000 0.0000 0.0000
Pd -1.3813 -0.7975 11.3384
Pd 0.0000 0.0000 9.0716
Pd 0.0000 -1.5950 15.9036
Pd -1.3813 0.7975 15.9036
Pd 0.0000 0.0000 13.6210
Pd 1.3813 -0.7975 11.3383
Pd 0.0000 1.5950 11.3383
Pd 0.0000 0.0000 18.1703
Pd 1.3813 0.7975 15.9036
CELL_PARAMETERS angstrom
2.7444 1.5845 9.0806
-2.7444 1.5845 9.0806
0.0000 -3.1690 9.0806
```


DFT (GGA-PBE) results for an optimized crystal structure of CaZrPa2Sb4. Values from VASP.

Formation energy (no corrections) in eV per atom: -0.60
Total magnetization in μB/atom: 0.21
Volume in A^3/atom: 28.8
N(E_F) in states/eV/f.u.: 9.937

```
&SYSTEM
  ibrav = 0, nat = 16, ntyp = 4
/
ATOMIC_SPECIES
Ca 40.08 Ca.upf
Zr 91.22 Zr.upf
Pa 231.04 Pa.upf
Sb 121.76 Sb.upf
ATOMIC_POSITIONS angstrom
Ca 0.0000 0.0000 0.0000
Ca 3.0688 3.0688 6.1239
Zr 0.0000 3.0688 9.1858
Zr 3.0688 0.0000 3.0619
Pa 0.0000 0.0000 6.1239
Pa 0.0000 3.0688 3.0619
Pa 3.0688 0.0000 9.1858
Pa 3.0688 3.0688 0.0000
Sb 0.0000 0.0000 3.0757
Sb 0.0000 0.0000 9.1720
Sb 0.0000 3.0688 6.1766
Sb 0.0000 3.0688 12.1951
Sb 3.0688 0.0000 0.0527
Sb 3.0688 0.0000 6.0712
Sb 3.0688 3.0688 3.0482
Sb 3.0688 3.0688 9.1996
CELL_PARAMETERS angstrom
6.1377 0.0000 0.0000
0.0000 6.1377 0.0000
0.0000 0.0000 12.2478
```


DFT (GGA-PBE) results for an optimized crystal structure of RbRhI2Br. Values from VASP.

Formation energy (no corrections) in eV per atom: -0.61
Total magnetization in μB/atom: 0.00
Volume in A^3/atom: 32.3
N(E_F) in states/eV/f.u.: 2.404

```
&SYSTEM
  ibrav = 0, nat = 5, ntyp = 4
/
ATOMIC_SPECIES
Rb 85.47 Rb.upf
Rh 102.91 Rh.upf
I 126.90 I.upf
Br 79.90 Br.upf
ATOMIC_POSITIONS angstrom
Rb 0.0000 0.0000 0.0000
Rh 2.7721 2.7721 2.6291
I 0.0000 2.7721 2.6291
I 2.7721 0.0000 2.6291
Br 2.7721 2.7721 0.0000
CELL_PARAMETERS angstrom
5.5442 0.0000 0.0000
0.0000 5.5442 0.0000
0.0000 0.0000 5.2581
```


DFT (GGA-PBE) results for an optimized crystal structure of BaReRh2F. Values from VASP.

Formation energy (no corrections) in eV per atom: 1.35
Total magnetization in μB/atom: 0.90
Volume in A^3/atom: 24.8
N(E_F) in states/eV/f.u.: 3.850

```
&SYSTEM
  ibrav = 0, nat = 5, ntyp = 4
/
ATOMIC_SPECIES
Ba 137.33 Ba.upf
Re 186.21 Re.upf
Rh 102.91 Rh.upf
F 19.00 F.upf
ATOMIC_POSITIONS angstrom
Ba 0.0000 0.0000 0.0000
Re 2.5953 2.5953 2.3000
Rh 0.0000 2.5953 0.0000
Rh 2.5953 0.0000 0.0000
F 0.0000 0.0000 2.3000
CELL_PARAMETERS angstrom
5.1907 0.0000 0.0000
0.0000 5.1907 0.0000
0.0000 0.0000 4.5999
```


DFT (GGA-PBE) results for an optimized crystal structure of LiAcAg3. Values from VASP.

Total magnetization in μB/atom: 0.00
Total DFT energy (no corrections) in eV per cell: -15.09
Volume in A^3/atom: 23.4
N(E_F) in states/eV/f.u.: 1.750

```
&SYSTEM
  ibrav = 0, nat = 5, ntyp = 3
/
ATOMIC_SPECIES
Li 6.94 Li.upf
Ac 227.00 Ac.upf
Ag 107.87 Ag.upf
ATOMIC_POSITIONS angstrom
Li 0.0000 0.0000 0.0000
Ac 2.4450 2.4450 2.4450
Ag 0.0000 0.0000 2.4450
Ag 0.0000 2.4450 0.0000
Ag 2.4450 0.0000 0.0000
CELL_PARAMETERS angstrom
4.8901 0.0000 0.0000
0.0000 4.8901 0.0000
0.0000 0.0000 4.8901
```


DFT (GGA-PBE) results for an optimized crystal structure of KBa2Hg. Values from VASP.

Total magnetization in μB/atom: 0.23
Total DFT energy (no corrections) in eV per cell: -5.47
Volume in A^3/atom: 46.9
N(E_F) in states/eV/f.u.: 5.438

```
&SYSTEM
  ibrav = 0, nat = 4, ntyp = 3
/
ATOMIC_SPECIES
K 39.10 K.upf
Ba 137.33 Ba.upf
Hg 200.59 Hg.upf
ATOMIC_POSITIONS angstrom
K 0.0000 0.0000 0.0000
Ba 0.0000 3.0983 2.4448
Ba 3.0983 0.0000 2.4448
Hg 3.0983 3.0983 0.0000
CELL_PARAMETERS angstrom
6.1966 0.0000 0.0000
0.0000 6.1966 0.0000
0.0000 0.0000 4.8896
```


DFT (GGA-PBE) results for an optimized crystal structure of KSN2. Values from VASP.

Formation energy (no corrections) in eV per atom: -0.35
Total magnetization in μB/atom: 0.00
Volume in A^3/atom: 28.1
N(E_F) in states/eV/f.u.: 0.356

```
&SYSTEM
  ibrav = 0, nat = 16, ntyp = 3
/
ATOMIC_SPECIES
K 39.10 K.upf
S 32.06 S.upf
N 14.01 N.upf
ATOMIC_POSITIONS angstrom
K 1.4634 1.1087 0.4203
K 0.0680 1.2748 4.8983
K 7.6722 3.4922 4.0577
K 6.2768 3.6583 8.5358
S -1.7900 3.0783 6.8577
S -0.3946 4.0722 2.3797
S 8.1347 0.6948 6.5764
S 9.5301 1.6887 2.0983
N 1.6736 2.9299 6.9057
N 3.0690 4.2205 2.4276
N 2.1401 3.5023 7.7456
N 3.5355 3.6481 3.2676
N 4.2046 1.1188 5.6885
N 5.6000 1.2646 1.2105
N 4.6711 0.5464 6.5284
N 6.0665 1.8371 2.0504
CELL_PARAMETERS angstrom
10.5309 0.0000 0.0000
0.0000 4.7669 0.0000
-2.7908 0.0000 8.9561
```


DFT (GGA-PBE) results for an optimized crystal structure of MgZrScTl. Values from VASP.

Total magnetization in μB/atom: 0.17
Total DFT energy (no corrections) in eV per cell: -19.35
Volume in A^3/atom: 22.4
N(E_F) in states/eV/f.u.: 3.605

```
&SYSTEM
  ibrav = 0, nat = 4, ntyp = 4
/
ATOMIC_SPECIES
Mg 24.30 Mg.upf
Zr 91.22 Zr.upf
Sc 44.96 Sc.upf
Tl 204.38 Tl.upf
ATOMIC_POSITIONS angstrom
Mg 0.0000 0.0000 0.0000
Zr 2.2154 0.0000 2.2597
Sc 2.2154 2.2345 0.0000
Tl 0.0000 2.2345 2.2597
CELL_PARAMETERS angstrom
4.4307 0.0000 0.0000
0.0000 4.4691 0.0000
0.0000 0.0000 4.5195
```


DFT (GGA-PBE) results for an optimized crystal structure of CrSiPb2. Values from VASP.

Formation energy (no corrections) in eV per atom: 0.66
Total magnetization in μB/atom: 1.05
Volume in A^3/atom: 24.7
N(E_F) in states/eV/f.u.: 2.141

```
&SYSTEM
  ibrav = 0, nat = 16, ntyp = 3
/
ATOMIC_SPECIES
Cr 52.00 Cr.upf
Si 28.09 Si.upf
Pb 207.20 Pb.upf
ATOMIC_POSITIONS angstrom
Cr 0.0000 0.0000 0.0000
Cr 0.0000 3.9723 1.5648
Cr 3.9723 0.0000 4.6943
Cr 3.9723 3.9723 3.1295
Si 0.0000 0.0000 3.1295
Si 0.0000 3.9723 4.6943
Si 3.9723 0.0000 1.5648
Si 3.9723 3.9723 0.0000
Pb 1.8124 1.9861 3.9119
Pb 1.9861 5.7847 5.4767
Pb 1.9861 6.1321 2.3471
Pb 2.1598 1.9861 0.7824
Pb 5.7847 5.9584 0.7824
Pb 5.9584 1.8124 2.3471
Pb 5.9584 2.1598 5.4767
Pb 6.1321 5.9584 3.9119
CELL_PARAMETERS angstrom
7.9445 0.0000 0.0000
0.0000 7.9445 0.0000
0.0000 0.0000 6.2590
```


DFT (GGA-PBE) results for an optimized crystal structure of Tb2ErHgC. Values from VASP.

Total magnetization in μB/atom: 0.00
Total DFT energy (no corrections) in eV per cell: -25.18
Volume in A^3/atom: 23.6
N(E_F) in states/eV/f.u.: 6.959

```
&SYSTEM
  ibrav = 0, nat = 5, ntyp = 4
/
ATOMIC_SPECIES
Tb 158.93 Tb.upf
Er 167.26 Er.upf
Hg 200.59 Hg.upf
C 12.01 C.upf
ATOMIC_POSITIONS angstrom
Tb 0.0000 2.4769 0.0000
Tb 2.4769 0.0000 0.0000
Er 0.0000 0.0000 2.4020
Hg 2.4769 2.4769 2.4020
C 0.0000 0.0000 0.0000
CELL_PARAMETERS angstrom
4.9538 0.0000 0.0000
0.0000 4.9538 0.0000
0.0000 0.0000 4.8040
```


DFT (GGA-PBE) results for an optimized crystal structure of Ca3TiAu. Values from VASP.

Total magnetization in μB/atom: 0.88
Total DFT energy (no corrections) in eV per cell: -13.39
Volume in A^3/atom: 37.4
N(E_F) in states/eV/f.u.: 5.409

```
&SYSTEM
  ibrav = 0, nat = 5, ntyp = 3
/
ATOMIC_SPECIES
Ca 40.08 Ca.upf
Ti 47.87 Ti.upf
Au 196.97 Au.upf
ATOMIC_POSITIONS angstrom
Ca 0.0000 0.0000 2.8592
Ca 0.0000 2.8592 0.0000
Ca 2.8592 0.0000 0.0000
Ti 0.0000 0.0000 0.0000
Au 2.8592 2.8592 2.8592
CELL_PARAMETERS angstrom
5.7183 0.0000 0.0000
0.0000 5.7183 0.0000
0.0000 0.0000 5.7183
```


- The highest volume belongs to which entry?
  KBa2Hg